# Sr2PtF (GGA-PBE, relaxed)
data_Sr2PtF
_symmetry_space_group_name_H-M 'F m -3 m'
_symmetry_Int_Tables_number 225
_symmetry_space_group_name_Hall '-F 4 2 3'
_cell_length_a 7.272
_cell_length_b 7.272
_cell_length_c 7.272
_cell_angle_alpha 90.00
_cell_angle_beta 90.00
_cell_angle_gamma 90.00
loop_
_atom_site_label
_atom_site_type_symbol
_atom_site_fract_x
_atom_site_fract_y
_atom_site_fract_z
Sr1 Sr 0.250 0.250 0.250
Pt1 Pt 0.000 0.000 0.000
F1 F 0.000 0.000 0.500
# DOS at the Fermi energy   0.957 states/eV per atom
# Energy relative to the elements, uncorrected   -1.49 eV per atom
# Energy   -4.31 eV/atom
# Theoretical density   6.7 g/cm³


# SrPt2F (GGA-PBE, relaxed)
data_SrPt2F
_symmetry_space_group_name_H-M 'F m -3 m'
_symmetry_Int_Tables_number 225
_symmetry_space_group_name_Hall '-F 4 2 3'
_cell_length_a 6.765
_cell_length_b 6.765
_cell_length_c 6.765
_cell_angle_alpha 90.00
_cell_angle_beta 90.00
_cell_angle_gamma 90.00
loop_
_atom_site_label
_atom_site_type_symbol
_atom_site_fract_x
_atom_site_fract_y
_atom_site_fract_z
Sr1 Sr 0.000 0.000 0.000
Pt1 Pt 0.250 0.250 0.250
F1 F 0.000 0.000 0.500
# DOS at the Fermi energy   0.750 states/eV per atom
# Energy relative to the elements, uncorrected   -0.11 eV per atom
# Energy   -4.02 eV/atom
# Theoretical density   10.7 g/cm³


# SrPt2F (GGA-PBE, relaxed)
data_SrPt2F
_symmetry_space_group_name_H-M 'I -4 2 d'
_symmetry_Int_Tables_number 122
_symmetry_space_group_name_Hall 'I -4 2bw'
_cell_length_a 3.645
_cell_length_b 3.645
_cell_length_c 24.200
_cell_angle_alpha 90.00
_cell_angle_beta 90.00
_cell_angle_gamma 90.00
loop_
_atom_site_label
_atom_site_type_symbol
_atom_site_fract_x
_atom_site_fract_y
_atom_site_fract_z
Sr1 Sr 0.000 0.000 0.000
Pt1 Pt 0.249 0.750 0.625
F1 F 0.000 0.000 0.500
# DOS at the Fermi energy   0.879 states/eV per atom
# Energy relative to the elements, uncorrected   -1.38 eV per atom
# Energy   -5.29 eV/atom
# Theoretical density   10.3 g/cm³


# SrPtF5 (GGA-PBE, relaxed)
data_SrPtF5
_symmetry_space_group_name_H-M 'C 1 2/c 1'
_symmetry_Int_Tables_number 15
_symmetry_space_group_name_Hall '-C 2yc'
_cell_length_a 9.390
_cell_length_b 6.443
_cell_length_c 8.786
_cell_angle_alpha 90.00
_cell_angle_beta 113.42
_cell_angle_gamma 90.00
loop_
_atom_site_label
_atom_site_type_symbol
_atom_site_fract_x
_atom_site_fract_y
_atom_site_fract_z
Sr1 Sr 0.000 0.043 0.250
Pt1 Pt 0.000 0.500 0.000
F1 F 0.000 0.438 0.250
F2 F 0.037 0.195 0.992
F3 F 0.226 0.444 0.616
# Energy relative to the elements, uncorrected   -2.38 eV per atom
# Energy   -4.82 eV/atom
# Theoretical density   5.1 g/cm³